A plane-wave DFT calculation with GGA-PBE was carried out for a geometry-optimized Gd2YOs structure. Values from VASP.

```
&SYSTEM
  ibrav = 0, nat = 4, ntyp = 3
/
ATOMIC_SPECIES
Y 88.91 Y.upf
Os 190.23 Os.upf
Gd 157.25 Gd.upf
ATOMIC_POSITIONS crystal
Y 0.000 0.000 0.000
Os 0.500 0.500 0.500
Gd 0.105 0.105 0.684
Gd 0.895 0.895 0.316
CELL_PARAMETERS angstrom
3.506 0.000 0.000
1.753 3.036 0.000
1.753 1.012 10.762
```

## Properties
The volume comes out at 114.6 Å³/cell. The total moment comes out at 15.15 Bohr magnetons per cell. The energy above the most stable polymorph in this dataset comes out at 340 meV/atom. As for the energy of formation: 0.28 eV/atom.

---

A plane-wave DFT calculation with GGA-PBE was carried out for a geometry-optimized Zr2MnBe16 structure. Values from VASP.

```
&SYSTEM
  ibrav = 0, nat = 19, ntyp = 3
/
ATOMIC_SPECIES
Be 9.01 Be.upf
Zr 91.22 Zr.upf
Mn 54.94 Mn.upf
ATOMIC_POSITIONS crystal
Be 0.343 0.842 0.343
Be 0.657 0.657 0.155
Be 0.000 0.501 0.000
Be 0.343 0.343 0.842
Be 0.999 0.282 0.713
Be 0.105 0.105 0.105
Be 0.155 0.657 0.657
Be 0.501 0.000 0.000
Be 0.657 0.155 0.657
Be 0.842 0.343 0.343
Be 0.282 0.713 0.999
Be 0.713 0.999 0.282
Be 0.282 0.999 0.713
Be 0.713 0.282 0.999
Be 0.999 0.713 0.282
Be 0.000 0.000 0.501
Zr 0.343 0.343 0.343
Zr 0.662 0.662 0.662
Mn 0.904 0.904 0.904
CELL_PARAMETERS angstrom
-5.258 -2.148 -0.711
1.203 -5.285 1.841
-1.754 0.777 5.393
```

## Properties
The volume comes out at 184.2 Å³/cell. The total moment comes out at 2.13 Bohr magnetons per cell. As for the energy of formation: -0.21 eV/atom.

---

A plane-wave DFT calculation with GGA-PBE was carried out for a geometry-optimized ZrCrRu2C structure. Values from VASP.

```
&SYSTEM
  ibrav = 0, nat = 5, ntyp = 4
/
ATOMIC_SPECIES
C 12.01 C.upf
Ru 101.07 Ru.upf
Zr 91.22 Zr.upf
Cr 52.00 Cr.upf
ATOMIC_POSITIONS crystal
C 0.000 0.000 0.000
Ru 0.500 0.000 0.000
Ru 0.000 0.500 0.000
Zr 0.500 0.500 0.500
Cr 0.000 0.000 0.500
CELL_PARAMETERS angstrom
-1.769 -1.742 3.278
1.561 -3.644 -1.094
3.276 0.753 2.168
```

## Properties
The volume comes out at 67.6 Å³/cell. The total moment comes out at 1.58 Bohr magnetons per cell. As for the energy of formation: -0.22 eV/atom.

---

A plane-wave DFT calculation with GGA-PBE was carried out for a geometry-optimized Ti3OsRh structure. Values from VASP.

```
&SYSTEM
  ibrav = 0, nat = 5, ntyp = 3
/
ATOMIC_SPECIES
Ti 47.87 Ti.upf
Os 190.23 Os.upf
Rh 102.91 Rh.upf
ATOMIC_POSITIONS crystal
Ti 0.000 0.000 0.500
Ti 0.500 0.000 0.000
Ti 0.000 0.500 0.000
Os 0.000 0.000 0.000
Rh 0.500 0.500 0.500
CELL_PARAMETERS angstrom
4.669 0.000 0.000
0.000 4.669 0.000
0.000 0.000 4.669
```

## Properties
The volume comes out at 101.8 Å³/cell. The total moment comes out at 1.17 Bohr magnetons per cell. The energy above the most stable polymorph in this dataset comes out at 0 meV/atom. As for the energy of formation: 0.57 eV/atom.

---

A plane-wave DFT calculation with GGA-PBE was carried out for a geometry-optimized SmGd2Pu structure. Values from VASP.

```
&SYSTEM
  ibrav = 0, nat = 4, ntyp = 3
/
ATOMIC_SPECIES
Sm 150.36 Sm.upf
Gd 157.25 Gd.upf
Pu 244.00 Pu.upf
ATOMIC_POSITIONS crystal
Sm 0.500 0.500 0.500
Gd 0.750 0.750 0.750
Gd 0.250 0.250 0.250
Pu 0.000 0.000 0.000
CELL_PARAMETERS angstrom
-3.525 3.074 3.124
-5.208 -1.864 1.021
-1.409 -1.721 5.166
```

## Properties
The volume comes out at 125.8 Å³/cell. The total moment comes out at 7.87 Bohr magnetons per cell. The energy above the most stable polymorph in this dataset comes out at 103 meV/atom. As for the energy of formation: 0.21 eV/atom.

---

A plane-wave DFT calculation with GGA-PBE was carried out for a geometry-optimized Ho7AsS5 structure. Values from VASP.

```
&SYSTEM
  ibrav = 0, nat = 26, ntyp = 3
/
ATOMIC_SPECIES
Ho 164.93 Ho.upf
S 32.06 S.upf
As 74.92 As.upf
ATOMIC_POSITIONS crystal
Ho 0.198 0.396 0.178
Ho 0.359 0.717 0.963
Ho 0.366 0.731 0.537
Ho 0.097 0.194 0.615
Ho 0.530 0.059 0.752
Ho 0.642 0.284 0.037
Ho 0.635 0.270 0.463
Ho 0.818 0.635 0.677
Ho 0.803 0.606 0.822
Ho 0.082 0.164 0.892
Ho 0.471 0.942 0.248
Ho 0.919 0.838 0.108
Ho 0.183 0.365 0.323
Ho 0.903 0.807 0.385
S 0.274 0.547 0.429
S 0.442 0.884 0.857
S 0.559 0.118 0.143
S 0.280 0.559 0.071
S 0.543 0.087 0.357
S 0.000 0.001 0.000
S 0.457 0.914 0.643
S 0.721 0.442 0.929
S 0.727 0.453 0.571
S 0.000 0.000 0.500
As 0.194 0.388 0.738
As 0.806 0.613 0.262
CELL_PARAMETERS angstrom
-1.939 0.894 -3.222
-2.503 -5.745 2.231
-15.242 12.262 12.578
```

## Properties
The volume comes out at 571.9 Å³/cell. The total moment comes out at 0.00 Bohr magnetons per cell. The value obtained for the energy relative to the elements, uncorrected is -1.7416 eV per atom.

---

A plane-wave DFT calculation with GGA-PBE was carried out for a geometry-optimized MgSc3Rh structure. Values from VASP.

```
&SYSTEM
  ibrav = 0, nat = 10, ntyp = 3
/
ATOMIC_SPECIES
Rh 102.91 Rh.upf
Sc 44.96 Sc.upf
Mg 24.30 Mg.upf
ATOMIC_POSITIONS crystal
Rh 0.820 0.553 0.896
Rh 0.011 0.672 0.279
Sc 0.224 0.304 0.704
Sc 0.599 0.495 0.456
Sc 0.231 0.730 0.719
Sc 0.415 0.404 0.087
Sc 0.607 0.920 0.471
Sc 0.415 0.820 0.088
Mg 0.013 0.157 0.284
Mg 0.816 0.067 0.892
CELL_PARAMETERS angstrom
3.275 -0.001 -0.606
-0.312 7.226 -1.693
-0.045 0.113 8.930
```

## Properties
The volume comes out at 211.8 Å³/cell. The total moment comes out at 0.22 Bohr magnetons per cell. The energy above the most stable polymorph in this dataset comes out at 0 meV/atom. As for the energy of formation: -0.41 eV/atom.

---

A plane-wave DFT calculation with GGA-PBE was carried out for a geometry-optimized PrDyYTh structure. Values from VASP.

```
&SYSTEM
  ibrav = 0, nat = 4, ntyp = 4
/
ATOMIC_SPECIES
Y 88.91 Y.upf
Dy 162.50 Dy.upf
Th 232.04 Th.upf
Pr 140.91 Pr.upf
ATOMIC_POSITIONS crystal
Y 0.130 0.963 0.108
Dy 0.476 0.135 0.626
Th 0.301 0.548 0.866
Pr 0.970 0.384 0.370
CELL_PARAMETERS angstrom
3.615 0.000 -0.001
-1.806 3.130 0.002
-1.808 -1.053 11.646
```

## Properties
The volume comes out at 131.8 Å³/cell. The total moment comes out at 0.00 Bohr magnetons per cell. The energy above the most stable polymorph in this dataset comes out at 0 meV/atom. As for the energy of formation: 0.01 eV/atom.

---

A plane-wave DFT calculation with GGA-PBE was carried out for a geometry-optimized MgInCo2C structure. Values from VASP.

```
&SYSTEM
  ibrav = 0, nat = 5, ntyp = 4
/
ATOMIC_SPECIES
C 12.01 C.upf
Mg 24.30 Mg.upf
Co 58.93 Co.upf
In 114.82 In.upf
ATOMIC_POSITIONS crystal
C 0.000 0.000 0.000
Mg 0.000 0.000 0.500
Co 0.000 0.500 0.000
Co 0.500 0.000 0.000
In 0.500 0.500 0.500
CELL_PARAMETERS angstrom
3.896 0.000 0.000
0.000 3.896 0.000
0.000 0.000 4.239
```

## Properties
The volume comes out at 64.3 Å³/cell. The total moment comes out at 1.01 Bohr magnetons per cell. As for the energy of formation: 0.17 eV/atom.

---

A plane-wave DFT calculation with GGA-PBE was carried out for a geometry-optimized Nd2SbP structure. Values from VASP.

```
&SYSTEM
  ibrav = 0, nat = 4, ntyp = 3
/
ATOMIC_SPECIES
Nd 144.24 Nd.upf
Sb 121.76 Sb.upf
P 30.97 P.upf
ATOMIC_POSITIONS crystal
Nd 0.485 0.742 0.227
Nd 0.515 0.258 0.773
Sb 0.000 0.500 0.500
P 0.000 0.000 0.000
CELL_PARAMETERS angstrom
-0.915 0.677 4.162
-3.127 -1.159 -2.737
2.977 -6.987 -0.447
```

## Properties
The volume comes out at 115.9 Å³/cell. The total moment comes out at 0.00 Bohr magnetons per cell. The energy above the most stable polymorph in this dataset comes out at 0 meV/atom. The value obtained for the energy relative to the elements, uncorrected is -1.3343 eV per atom.

---

A plane-wave DFT calculation with GGA-PBE was carried out for a geometry-optimized LaNd2Sb structure. Values from VASP.

```
&SYSTEM
  ibrav = 0, nat = 4, ntyp = 3
/
ATOMIC_SPECIES
Sb 121.76 Sb.upf
Nd 144.24 Nd.upf
La 138.91 La.upf
ATOMIC_POSITIONS crystal
Sb 0.500 0.500 0.500
Nd 0.000 0.000 0.714
Nd 0.000 0.000 0.286
La 0.500 0.500 0.000
CELL_PARAMETERS angstrom
-0.885 0.000 -4.039
-4.015 -0.451 0.880
-0.791 7.381 0.173
```

## Properties
The volume comes out at 126.9 Å³/cell. The total moment comes out at 0.00 Bohr magnetons per cell. The energy above the most stable polymorph in this dataset comes out at 71 meV/atom. The value obtained for the energy relative to the elements, uncorrected is -0.5187 eV per atom.

---

A plane-wave DFT calculation with GGA-PBE was carried out for a geometry-optimized BeGe3Pd structure. Values from VASP.

```
&SYSTEM
  ibrav = 0, nat = 5, ntyp = 3
/
ATOMIC_SPECIES
Ge 72.64 Ge.upf
Pd 106.42 Pd.upf
Be 9.01 Be.upf
ATOMIC_POSITIONS crystal
Ge 0.000 0.000 0.500
Ge 0.500 0.000 0.000
Ge 0.000 0.500 0.000
Pd 0.000 0.000 0.000
Be 0.500 0.500 0.500
CELL_PARAMETERS angstrom
4.832 0.000 0.000
0.000 4.832 0.000
0.000 0.000 4.832
```

## Properties
The volume comes out at 112.8 Å³/cell. The total moment comes out at 0.00 Bohr magnetons per cell. The energy above the most stable polymorph in this dataset comes out at 341 meV/atom. As for the energy of formation: 0.76 eV/atom.

---

Q: What is the formula in the ninth record?
A: MgInCo2C

---

Q: The highest total moment belongs to which entry?
A: Gd2YOs